Density functional theory data (PBE-GGA) for LiCeCdRh after structural relaxation.

The structure in CIF format:
```
data_LiCeCdRh
_chemical_formula_sum 'Li1 Ce1 Cd1 Rh1'
_space_group_name_H-M_alt 'P 1'
_space_group_IT_number 1
_space_group_name_Hall 'P 1'
_cell_length_a 4.813
_cell_length_b 4.813
_cell_length_c 4.813
_cell_angle_alpha 60.00
_cell_angle_beta 60.00
_cell_angle_gamma 60.00
loop_
_atom_site_label
_atom_site_fract_x
_atom_site_fract_y
_atom_site_fract_z
Li1 0.000 0.000 0.000
Ce1 0.750 0.750 0.750
Cd1 0.250 0.250 0.250
Rh1 0.500 0.500 0.500
```

Energy relative to the elements: -0.326 eV/atom
Final energy: -4.355 eV/atom

=====

Density functional theory data (PBE-GGA) for Na7Bi2Sb2 after structural relaxation.

The structure in CIF format:
```
data_Na7Bi2Sb2
_chemical_formula_sum 'Na7 Bi2 Sb2'
_space_group_name_H-M_alt 'P 1'
_space_group_IT_number 1
_space_group_name_Hall 'P 1'
_cell_length_a 6.582
_cell_length_b 6.582
_cell_length_c 9.034
_cell_angle_alpha 90.00
_cell_angle_beta 90.00
_cell_angle_gamma 118.19
loop_
_atom_site_label
_atom_site_fract_x
_atom_site_fract_y
_atom_site_fract_z
Na1 0.000 0.000 0.000
Na2 0.000 0.500 0.303
Na3 0.000 0.500 0.697
Na4 0.500 0.000 0.303
Na5 0.500 0.000 0.697
Na6 0.500 0.500 0.194
Na7 0.500 0.500 0.806
Bi1 0.233 0.233 0.500
Bi2 0.767 0.767 0.500
Sb1 0.271 0.729 0.000
Sb2 0.729 0.271 0.000
```

Raw formation energy: -0.27 eV/atom
Final energy: -2.565 eV/atom

=====

- The highest final energy belongs to which entry?
  Na7Bi2Sb2

=====

- Number 1 is which compound?
  LiCeCdRh

=====

- Among the records above, which one has the highest final energy?
  Na7Bi2Sb2